Ti12Mn5P18O72 | PBE+U | optimized geometry

abc: 8.666 12.258 15.014
angles: 114.09 106.77 90.00
Fractional coordinates of all 107 atoms:
Ti: 0.067 0.423 0.137
Ti: 0.070 0.928 0.141
Ti: 0.262 0.910 0.525
Ti: 0.264 0.410 0.526
Ti: 0.403 0.757 0.805
Ti: 0.409 0.270 0.816
Ti: 0.591 0.730 0.184
Ti: 0.597 0.243 0.195
Ti: 0.736 0.590 0.474
Ti: 0.738 0.090 0.475
Ti: 0.930 0.072 0.859
Ti: 0.933 0.577 0.863
Mn: 0.165 0.166 0.335
Mn: 0.166 0.667 0.332
Mn: 0.500 0.000 0.000
Mn: 0.834 0.333 0.668
Mn: 0.835 0.834 0.665
P: 0.042 0.584 0.668
P: 0.093 0.344 0.899
P: 0.140 0.182 0.571
P: 0.195 0.153 0.097
P: 0.237 0.987 0.763
P: 0.294 0.757 0.002
P: 0.376 0.917 0.332
P: 0.430 0.681 0.567
P: 0.470 0.516 0.239
P: 0.530 0.484 0.761
P: 0.570 0.319 0.433
P: 0.624 0.083 0.668
P: 0.706 0.243 0.998
P: 0.763 0.013 0.237
P: 0.805 0.847 0.903
P: 0.860 0.818 0.429
P: 0.907 0.656 0.101
P: 0.958 0.416 0.332
O: 0.012 0.212 0.855
O: 0.018 0.598 0.166
O: 0.033 0.481 0.281
O: 0.038 0.804 0.429
O: 0.058 0.970 0.763
O: 0.089 0.353 0.382
O: 0.091 0.085 0.984
O: 0.103 0.411 0.013
O: 0.104 0.486 0.587
O: 0.152 0.101 0.167
O: 0.152 0.656 0.924
O: 0.164 0.048 0.521
O: 0.169 0.286 0.141
O: 0.176 0.237 0.500
O: 0.181 0.684 0.748
O: 0.229 0.860 0.078
O: 0.229 0.919 0.649
O: 0.249 0.984 0.284
O: 0.252 0.246 0.681
O: 0.264 0.350 0.891
O: 0.291 0.525 0.238
O: 0.294 0.854 0.382
O: 0.305 0.120 0.806
O: 0.323 0.737 0.499
O: 0.346 0.932 0.831
O: 0.356 0.548 0.519
O: 0.370 0.817 0.948
O: 0.374 0.139 0.100
O: 0.391 0.304 0.430
O: 0.424 0.702 0.057
O: 0.425 0.422 0.646
O: 0.431 0.745 0.680
O: 0.437 0.820 0.253
O: 0.483 0.984 0.585
O: 0.490 0.421 0.822
O: 0.499 0.617 0.807
O: 0.501 0.383 0.193
O: 0.510 0.579 0.178
O: 0.517 0.016 0.415
O: 0.563 0.180 0.747
O: 0.569 0.255 0.320
O: 0.575 0.578 0.354
O: 0.576 0.298 0.943
O: 0.609 0.696 0.570
O: 0.626 0.861 0.900
O: 0.630 0.183 0.052
O: 0.644 0.452 0.481
O: 0.654 0.068 0.169
O: 0.677 0.263 0.501
O: 0.695 0.880 0.194
O: 0.706 0.146 0.618
O: 0.709 0.475 0.762
O: 0.736 0.650 0.109
O: 0.748 0.754 0.319
O: 0.751 0.016 0.716
O: 0.771 0.081 0.351
O: 0.771 0.140 0.922
O: 0.819 0.316 0.252
O: 0.824 0.763 0.500
O: 0.831 0.714 0.859
O: 0.836 0.952 0.479
O: 0.848 0.344 0.076
O: 0.848 0.899 0.833
O: 0.896 0.514 0.413
O: 0.897 0.589 0.987
O: 0.909 0.915 0.016
O: 0.911 0.647 0.618
O: 0.942 0.030 0.237
O: 0.962 0.196 0.571
O: 0.967 0.519 0.719
O: 0.982 0.402 0.834
O: 0.988 0.788 0.145

## Properties
- uncorrected energy (eV per atom) = -7.96
- spin magnetization (μB/f.u.) = 29.16

TiMnP2O | PBE+U | optimized geometry

abc: 4.930 4.930 3.673
angles: 90.00 90.00 90.00
Fractional coordinates of all 5 atoms:
Ti: 0.000 0.000 0.000
Mn: 0.500 0.500 0.500
P: 0.000 0.500 0.000
P: 0.500 0.000 0.000
O: 0.000 0.000 0.500

## Properties
- offset from the most stable computed form (eV per atom) = 0.000
- spin magnetization (μB/f.u.) = 3.95

TiMnP2O | PBE+U | optimized geometry

abc: 4.667 4.667 3.587
angles: 90.00 90.00 90.00
Fractional coordinates of all 5 atoms:
Ti: 0.000 0.000 0.000
Mn: 0.500 0.500 0.500
P: 0.000 0.500 0.500
P: 0.500 0.000 0.500
O: 0.500 0.500 0.000

## Properties
- offset from the most stable computed form (eV per atom) = 0.460
- spin magnetization (μB/f.u.) = 3.22

Ti3Mn2VP6O24 | PBE+U | optimized geometry

abc: 8.675 8.675 8.675
angles: 59.97 59.97 59.97
Fractional coordinates of all 36 atoms:
Ti: 0.000 0.000 0.000
Ti: 0.209 0.209 0.209
Ti: 0.503 0.503 0.503
Mn: 0.354 0.354 0.354
Mn: 0.855 0.855 0.855
V: 0.714 0.714 0.714
P: 0.110 0.811 0.395
P: 0.312 0.607 0.901
P: 0.395 0.110 0.811
P: 0.607 0.901 0.312
P: 0.811 0.395 0.110
P: 0.901 0.312 0.607
O: 0.047 0.854 0.236
O: 0.095 0.281 0.444
O: 0.119 0.772 0.910
O: 0.183 0.968 0.340
O: 0.236 0.047 0.854
O: 0.273 0.617 0.411
O: 0.281 0.444 0.095
O: 0.340 0.183 0.968
O: 0.359 0.547 0.735
O: 0.411 0.273 0.617
O: 0.444 0.095 0.281
O: 0.468 0.658 0.873
O: 0.547 0.735 0.359
O: 0.586 0.950 0.807
O: 0.617 0.411 0.273
O: 0.658 0.873 0.468
O: 0.735 0.359 0.547
O: 0.772 0.910 0.119
O: 0.807 0.586 0.950
O: 0.854 0.236 0.047
O: 0.873 0.468 0.658
O: 0.910 0.119 0.772
O: 0.950 0.807 0.586
O: 0.968 0.340 0.183

## Properties
- uncorrected energy (eV per atom) = -7.89
- spin magnetization (μB/f.u.) = 13.08